Crystalline Ta4AsC2S at its relaxed geometry, computed with PBE.

Crystal system   hexagonal

Cell and atoms, written as POSCAR:
```
Ta4AsC2S
1.0
-0.099 -1.080 -3.141
2.064 -1.422 2.182
-8.386 -7.704 2.915
As C S Ta
1 2 1 4
direct
0.667 0.333 0.500 As
0.333 0.667 0.246 C
0.333 0.667 0.754 C
0.000 0.000 0.000 S
0.667 0.333 0.152 Ta
0.000 0.000 0.340 Ta
0.000 0.000 0.660 Ta
0.667 0.333 0.848 Ta
```



Crystalline Pa2Os2O5 at its relaxed geometry, computed with PBE.

Crystal system   tetragonal

Cell and atoms, written as POSCAR:
```
Pa2Os2O5
1.0
-7.153 -2.513 -1.519
0.957 -3.634 1.506
-1.203 1.205 3.673
O Os Pa
5 2 2
direct
0.344 0.500 0.000 O
0.656 0.500 0.000 O
0.344 0.000 0.500 O
0.656 0.000 0.500 O
0.500 0.500 0.500 O
0.000 0.000 0.000 Os
0.500 0.000 0.000 Os
0.230 0.500 0.500 Pa
0.770 0.500 0.500 Pa
```



Crystalline Er6Tm2S at its relaxed geometry, computed with PBE.

Crystal system   hexagonal

Cell and atoms, written as POSCAR:
```
Er6Tm2S
1.0
8.910 0.000 0.000
-4.455 7.716 0.000
0.000 0.000 3.689
Er S Tm
6 1 2
direct
0.602 0.000 0.000 Er
0.398 0.398 0.000 Er
0.000 0.602 0.000 Er
0.245 0.000 0.500 Er
0.000 0.245 0.500 Er
0.755 0.755 0.500 Er
0.000 0.000 0.000 S
0.667 0.333 0.500 Tm
0.333 0.667 0.500 Tm
```



no.,VASP energy (eV for the cell shown)
1,-79.71
2,-70.81
3,-43.82